Record 1
The following is a PBE calculation of an optimized crystal structure of CsMgTl4Cd2, from the Alexandria database.

a = 11.8597 Å, b = 11.8597 Å, c = 11.8597 Å
α = 25.24°, β = 25.24°, γ = 25.24°
Last column: nearest neighbours and their distance in Å.
Fractional positions:
Cs 0.0000 0.0000 0.0000  6 Tl 3.93
Mg 0.5000 0.5000 0.5000  8 Tl 3.20-3.23
Tl 0.1315 0.1315 0.1315  4 Cd 3.17-3.47, 3 Mg 3.23
Tl 0.4072 0.4072 0.4072  3 Cd 3.14, 1 Mg 3.20
Tl 0.5928 0.5928 0.5928  3 Cd 3.14, 1 Mg 3.20
Tl 0.8685 0.8685 0.8685  4 Cd 3.17-3.47, 3 Mg 3.23
Cd 0.2322 0.2322 0.2322  7 Tl 3.14-3.47
Cd 0.7678 0.7678 0.7678  7 Tl 3.14-3.47

Output
The value obtained for the uncorrected energy is -1.77 eV per atom. The total magnetic moment is 0.0 μB/f.u. Its energy relative to the elements is -0.05 eV per atom.

Record 2
The following is a PBE calculation of an optimized crystal structure of Cs2MgTl2Cd, from the Alexandria database.

a = 10.3051 Å, b = 10.3051 Å, c = 10.3051 Å
α = 142.59°, β = 65.02°, γ = 128.90°
Last column: nearest neighbours and their distance in Å.
Fractional positions:
Cs 0.1735 0.2415 0.4150  2 Tl 3.73-3.74, 2 Cd 4.07, 2 Mg 4.12
Cs 0.3265 0.7415 0.0679  2 Tl 3.73-3.74, 2 Cd 4.07, 2 Mg 4.12
Cs 0.6735 0.2585 0.9321  2 Tl 3.73-3.74, 2 Cd 4.07, 2 Mg 4.12
Cs 0.8265 0.7585 0.5850  2 Tl 3.73-3.74, 2 Cd 4.07, 2 Mg 4.12
Mg 0.2500 0.7500 0.5000  4 Tl 3.02, 2 Cd 3.30
Mg 0.7500 0.2500 0.5000  4 Tl 3.02, 2 Cd 3.30
Tl 0.0732 0.7428 0.8160  2 Mg 3.02, 2 Cd 3.07
Tl 0.4268 0.2428 0.6696  2 Mg 3.02, 2 Cd 3.07
Tl 0.5732 0.7572 0.3304  2 Mg 3.02, 2 Cd 3.07
Tl 0.9268 0.2572 0.1840  2 Mg 3.02, 2 Cd 3.07
Cd 0.2500 0.2500 0.0000  4 Tl 3.07, 2 Mg 3.30
Cd 0.7500 0.7500 0.0000  4 Tl 3.07, 2 Mg 3.30

Output
The value obtained for the uncorrected energy is -1.55 eV per atom. The total magnetic moment is 0.0 μB/f.u. Its energy relative to the elements is -0.05 eV per atom.

Record 3
The following is a PBE calculation of an optimized crystal structure of CsMgZnCd2, from the Alexandria database.

a = 5.5405 Å, b = 5.5405 Å, c = 5.2843 Å
α = 90.00°, β = 90.00°, γ = 90.00°
Last column: nearest neighbours and their distance in Å.
Fractional positions:
Cs 0.0000 0.0000 0.0000  8 Cd 3.83, 4 Mg 3.92
Mg 0.5000 0.5000 0.0000  2 Zn 2.64
Zn 0.5000 0.5000 0.5000  2 Mg 2.64, 4 Cd 2.77
Cd 0.0000 0.5000 0.5000  2 Zn 2.77
Cd 0.5000 0.0000 0.5000  2 Zn 2.77

Output
The value obtained for the uncorrected energy is -1.00 eV per atom. The total magnetic moment is 0.0 μB/f.u. Its energy relative to the elements is 0.11 eV per atom.

Record 4
The following is a PBE calculation of an optimized crystal structure of Cs3MnCd, from the Alexandria database.

a = 7.3223 Å, b = 7.3223 Å, c = 7.3223 Å
α = 90.00°, β = 90.00°, γ = 90.00°
Last column: nearest neighbours and their distance in Å.
Fractional positions:
Cs 0.0000 0.0000 0.5000  2 Cd 3.66
Cs 0.0000 0.5000 0.0000  2 Cd 3.66
Cs 0.5000 0.0000 0.0000  2 Cd 3.66
Mn 0.5000 0.5000 0.5000  12 Cs 5.18
Cd 0.0000 0.0000 0.0000  6 Cs 3.66

Output
The value obtained for the uncorrected energy is -1.86 eV per atom. The total magnetic moment is 4.8 μB/f.u. Its energy relative to the elements is 0.67 eV per atom.